--- i ---
Compound: Sm2YIn2
Source: Alexandria
Functional: PBE-GGA
Structure: relaxed

POSCAR file:
```
Sm2YIn2
1.0
-0.878 -4.858 0.775
2.190 -3.650 -4.284
4.703 -3.065 2.226
Sm Y In
2 1 2
Direct
0.193 0.307 0.307
0.807 0.693 0.693
0.000 0.000 0.000
0.500 0.289 0.711
0.500 0.711 0.289
```

Computed properties:
- Space-group type: Immm

=====

--- ii ---
Compound: Sm2YIn2
Source: Alexandria
Functional: PBE-GGA
Structure: relaxed

POSCAR file:
```
Sm2YIn2
1.0
-1.299 0.035 3.569
1.670 -5.079 0.658
13.165 4.679 2.719
Sm In Y
4 4 2
Direct
0.047 0.750 0.095
0.763 0.250 0.526
0.953 0.250 0.905
0.237 0.750 0.474
0.551 0.250 0.102
0.357 0.250 0.713
0.449 0.750 0.898
0.643 0.750 0.287
0.853 0.750 0.704
0.147 0.250 0.296
```

Computed properties:
- Space-group type: P2_1/m

=====

Need the numbers? Relative energies in eV/atom: i 0.009; ii 0.000.